# BAs2P (PBE, relaxed)
data_BAs2P
_space_group_name_H-M_alt 'F m -3 m'
_space_group_IT_number 225
_space_group_name_Hall '-F 4 2 3'
_cell_length_a 6.1992
_cell_length_b 6.1992
_cell_length_c 6.1992
_cell_angle_alpha 90.00
_cell_angle_beta 90.00
_cell_angle_gamma 90.00
loop_
_atom_site_label
_atom_site_fract_x
_atom_site_fract_y
_atom_site_fract_z
_atom_site_occupancy
B1 0.0000 0.0000 0.0000 1
As1 0.2500 0.2500 0.2500 1
P1 0.0000 0.0000 0.5000 1
# Volume: 238.2 Å³ per cell
# Energy relative to the lowest polymorph listed for this composition: 728.5 meV/atom
# Calculated formation energy: 1.113 eV/atom
# Mass density: 5343 kg/m³
# M_tot: 0.00 μB per formula unit

***

# B2AsP (PBE, relaxed)
data_B2AsP
_space_group_name_H-M_alt 'I -4 2 d'
_space_group_IT_number 122
_space_group_name_Hall 'I -4 2bw'
_cell_length_a 4.6815
_cell_length_b 4.6815
_cell_length_c 9.3454
_cell_angle_alpha 90.00
_cell_angle_beta 90.00
_cell_angle_gamma 90.00
loop_
_atom_site_label
_atom_site_fract_x
_atom_site_fract_y
_atom_site_fract_z
_atom_site_occupancy
B1 0.2299 0.2500 0.1250 1
As1 0.0000 0.0000 0.5000 1
P1 0.0000 0.0000 0.0000 1
# Volume: 204.8 Å³ per cell
# Energy relative to the lowest polymorph listed for this composition: 0.0 meV/atom
# Calculated formation energy: -0.213 eV/atom
# Mass density: 4135 kg/m³
# M_tot: 0.00 μB per formula unit

***

- What is the energy relative to the lowest polymorph listed for this composition in the second record?
  0.0 meV/atom

***

- Which value of calculated formation energy does entry 2 give?
  -0.213 eV/atom

***

Please write out number 1 again, unchanged.
# BAs2P (PBE, relaxed)
data_BAs2P
_space_group_name_H-M_alt 'F m -3 m'
_space_group_IT_number 225
_space_group_name_Hall '-F 4 2 3'
_cell_length_a 6.1992
_cell_length_b 6.1992
_cell_length_c 6.1992
_cell_angle_alpha 90.00
_cell_angle_beta 90.00
_cell_angle_gamma 90.00
loop_
_atom_site_label
_atom_site_fract_x
_atom_site_fract_y
_atom_site_fract_z
_atom_site_occupancy
B1 0.0000 0.0000 0.0000 1
As1 0.2500 0.2500 0.2500 1
P1 0.0000 0.0000 0.5000 1
# Volume: 238.2 Å³ per cell
# Energy relative to the lowest polymorph listed for this composition: 728.5 meV/atom
# Calculated formation energy: 1.113 eV/atom
# Mass density: 5343 kg/m³
# M_tot: 0.00 μB per formula unit